The following is a DFT calculation (GGA-PBE) of an optimized crystal structure of Y4PbAu.

Lattice parameters (Å, degrees): 6.264 6.264 6.264 60.00 60.00 60.00
Element x y z (fractional)
Y 0.876 0.375 0.375
Y 0.375 0.375 0.876
Y 0.375 0.876 0.375
Y 0.375 0.375 0.375
Pb 0.000 0.000 0.000
Au 0.750 0.750 0.750

Results
SG: F-43m, No. 216
Energy relative to the elements in eV per formula unit: 1.27
N(E_F) in states/eV/cell: 7.30
Density in g/cm³: 7.26

=====

The following is a DFT calculation (GGA-PBE) of an optimized crystal structure of YPb2Au.

Lattice parameters (Å, degrees): 5.910 5.910 5.910 134.79 134.79 65.86
Element x y z (fractional)
Au 0.750 0.250 0.500
Pb 0.000 0.000 0.000
Pb 0.250 0.750 0.500
Y 0.500 0.500 0.000

Results
SG: I-4m2, No. 119
Excess energy over the best structure of this formula in the dataset in eV/atom: 0.037
Energy relative to the elements in eV per formula unit: -1.43
N(E_F) in states/eV/cell: 2.19
Density in g/cm³: 11.35

=====

The following is a DFT calculation (GGA-PBE) of an optimized crystal structure of Y3PbAu.

Lattice parameters (Å, degrees): 5.505 5.505 5.505 90.00 90.00 90.00
Element x y z (fractional)
Pb 0.500 0.500 0.500
Y 0.000 0.500 0.000
Y 0.000 0.000 0.500
Y 0.500 0.000 0.000
Au 0.000 0.000 0.000

Results
SG: Pm-3m, No. 221
Excess energy over the best structure of this formula in the dataset in eV/atom: 0.000
Energy relative to the elements in eV per formula unit: -1.28
N(E_F) in states/eV/cell: 6.35
Density in g/cm³: 6.68

=====

The following is a DFT calculation (GGA-PBE) of an optimized crystal structure of Y2PbAu2.

Lattice parameters (Å, degrees): 3.880 3.880 9.119 77.72 77.72 90.00
Element x y z (fractional)
Pb 0.000 0.000 0.000
Y 0.385 0.385 0.229
Y 0.615 0.615 0.771
Au 0.750 0.250 0.500
Au 0.250 0.750 0.500

Results
SG: I4/mmm, No. 139
Energy relative to the elements in eV per formula unit: -2.35
N(E_F) in states/eV/cell: 5.20
Density in g/cm³: 9.88

=====

The following is a DFT calculation (GGA-PBE) of an optimized crystal structure of YPb2Au.

Lattice parameters (Å, degrees): 4.789 3.619 6.208 82.94 90.00 90.00
Element x y z (fractional)
Au 0.500 0.750 0.750
Pb 0.000 0.910 0.993
Pb 0.000 0.590 0.507
Y 0.500 0.250 0.250

Results
SG: P2/m, No. 10
Excess energy over the best structure of this formula in the dataset in eV/atom: 0.148
Energy relative to the elements in eV per formula unit: -0.98
N(E_F) in states/eV/cell: 1.80
Density in g/cm³: 10.89

=====

The following is a DFT calculation (GGA-PBE) of an optimized crystal structure of Y2ZrPbAu.

Lattice parameters (Å, degrees): 6.005 5.821 6.005 90.00 90.00 90.00
Element x y z (fractional)
Pb 0.000 0.000 0.000
Y 0.000 0.000 0.500
Y 0.500 0.000 0.000
Au 0.500 0.500 0.500
Zr 0.000 0.500 0.000

Results
SG: P4/mmm, No. 123
Energy relative to the elements in eV per formula unit: 4.14
N(E_F) in states/eV/cell: 3.84
Density in g/cm³: 5.33

=====

The following is a DFT calculation (GGA-PBE) of an optimized crystal structure of Zn2PbAu.

Lattice parameters (Å, degrees): 5.650 5.650 5.650 143.71 128.89 64.29
Element x y z (fractional)
Au 0.527 0.527 0.000
Pb 0.256 0.756 0.500
Zn 0.974 0.974 0.000
Zn 0.743 0.243 0.500

Results
SG: Imm2, No. 44
Energy relative to the elements in eV per formula unit: 0.38
N(E_F) in states/eV/cell: 1.41
Density in g/cm³: 10.82

=====

The following is a DFT calculation (GGA-PBE) of an optimized crystal structure of ZnPb2Au.

Lattice parameters (Å, degrees): 6.100 6.100 6.100 138.62 138.62 59.96
Element x y z (fractional)
Au 0.750 0.250 0.500
Pb 0.000 0.000 0.000
Pb 0.250 0.750 0.500
Zn 0.500 0.500 0.000

Results
SG: I-4m2, No. 119
Energy relative to the elements in eV per formula unit: 0.40
N(E_F) in states/eV/cell: 1.80
Density in g/cm³: 11.45

=====

The following is a DFT calculation (GGA-PBE) of an optimized crystal structure of ZnPbAu6.

Lattice parameters (Å, degrees): 4.173 4.173 8.769 90.00 90.00 90.00
Element x y z (fractional)
Zn 0.000 0.000 0.500
Pb 0.000 0.000 0.000
Au 0.500 0.500 0.000
Au 0.500 0.500 0.500
Au 0.500 0.000 0.273
Au 0.500 0.000 0.727
Au 0.000 0.500 0.273
Au 0.000 0.500 0.727

Results
SG: P4/mmm, No. 123
Energy relative to the elements in eV per formula unit: -0.04
N(E_F) in states/eV/cell: 4.06
Density in g/cm³: 15.81

=====

The following is a DFT calculation (GGA-PBE) of an optimized crystal structure of Zn2Pb2Au.

Lattice parameters (Å, degrees): 6.880 6.880 4.817 90.00 90.00 90.00
Element x y z (fractional)
Pb 0.178 0.678 0.500
Pb 0.678 0.822 0.500
Pb 0.822 0.322 0.500
Pb 0.322 0.178 0.500
Zn 0.367 0.867 0.000
Zn 0.867 0.633 0.000
Zn 0.633 0.133 0.000
Zn 0.133 0.367 0.000
Au 0.000 0.000 0.000
Au 0.500 0.500 0.000

Results
SG: P4/mbm, No. 127
Excess energy over the best structure of this formula in the dataset in eV/atom: 0.000
Energy relative to the elements in eV per formula unit: 0.07
N(E_F) in states/eV/cell: 5.13
Density in g/cm³: 10.81

=====

The following is a DFT calculation (GGA-PBE) of an optimized crystal structure of ZnPbAu2.

Lattice parameters (Å, degrees): 4.571 4.571 9.486 76.06 76.06 90.00
Element x y z (fractional)
Pb 0.000 0.000 0.000
Pb 0.750 0.250 0.500
Zn 0.500 0.500 0.000
Zn 0.250 0.750 0.500
Au 0.565 0.125 0.250
Au 0.185 0.625 0.250
Au 0.375 0.435 0.750
Au 0.875 0.815 0.750

Results
SG: I-42d, No. 122
Excess energy over the best structure of this formula in the dataset in eV/atom: 0.174
Energy relative to the elements in eV per formula unit: 0.16
N(E_F) in states/eV/cell: 3.35
Density in g/cm³: 11.88

=====

The following is a DFT calculation (GGA-PBE) of an optimized crystal structure of ZnPb2Au.

Lattice parameters (Å, degrees): 4.636 4.636 6.460 73.57 73.57 51.64
Element x y z (fractional)
Au 0.250 0.250 0.250
Pb 0.996 0.996 0.009
Pb 0.504 0.504 0.491
Zn 0.750 0.750 0.750

Results
SG: C2/m, No. 12
Energy relative to the elements in eV per formula unit: 0.30
N(E_F) in states/eV/cell: 1.73
Density in g/cm³: 10.87